K2MoCl5O | GGA+U | optimized geometry

The structure in POSCAR format:
```
K2MoCl5O
1.0
7.216 0.000 0.000
0.000 9.898 0.000
0.000 0.000 13.858
K Mo O Cl
8 4 4 20
Direct
0.676 0.503 0.854
0.176 0.497 0.646
0.324 0.003 0.146
0.324 0.497 0.146
0.176 0.003 0.646
0.676 0.997 0.854
0.824 0.997 0.354
0.824 0.503 0.354
0.308 0.250 0.404
0.192 0.250 0.904
0.808 0.750 0.096
0.692 0.750 0.596
0.449 0.250 0.503
0.051 0.250 0.003
0.551 0.750 0.497
0.949 0.750 0.997
0.559 0.250 0.285
0.290 0.494 0.391
0.980 0.750 0.503
0.790 0.506 0.109
0.059 0.750 0.215
0.290 0.006 0.391
0.941 0.250 0.785
0.210 0.006 0.891
0.710 0.994 0.609
0.520 0.750 0.003
0.092 0.250 0.254
0.908 0.750 0.746
0.790 0.994 0.109
0.480 0.250 0.997
0.441 0.750 0.715
0.210 0.494 0.891
0.408 0.250 0.754
0.710 0.506 0.609
0.020 0.250 0.497
0.592 0.750 0.246
```

Values from the calculation:
Its space-group type is No. 62. For the calculated total energy, the calculation gives -147.7 eV for the cell shown. As for the offset from the most stable computed form: 0.00 eV per formula unit.